Rb2AcTlF8, optimized geometry, DFT PBE; calculated total energy = -0.359 Ry per atom; SG = P2/m (10); energy relative to the elements, uncorrected = -2939.3 meV per atom; size of the total moment = 0.009 μB/atom
1.0
4.2061 0.0000 0.0000
0.0000 8.1434 0.0000
-0.3523 0.0000 6.5929
Rb Ac Tl F
2 1 1 8
direct
0.0000 0.2375 0.0000
0.0000 0.7625 0.0000
0.5000 0.5000 0.5000
0.5000 0.0000 0.5000
0.0047 0.5000 0.7128
0.0633 0.0000 0.3078
0.4661 0.2343 0.7015
0.4661 0.7657 0.7015
0.5339 0.2343 0.2985
0.5339 0.7657 0.2985
0.9367 0.0000 0.6922
0.9953 0.5000 0.2872